Record 1
DFT (PBE-GGA) results for crystalline MgH2RhSe at its relaxed geometry.

Unit cell a=3.6075 b=5.9802 c=3.6075 alpha=90.00 beta=90.00 gamma=90.00
Site moments in Bohr magnetons follow the coordinates.
Fractional positions:
H1 0.0000 0.0000 0.5000  -0.01
H2 0.5000 0.0000 0.0000  0.00
Mg1 0.0000 0.5000 0.0000  0.00
Rh1 0.5000 0.5000 0.5000  0.42
Se1 0.0000 0.0000 0.0000  0.02

Output
mass density: 4.44 g cm⁻³
space group: P4/mmm (123)



Record 2
DFT (PBE-GGA) results for crystalline SmMgH8Rh2 at its relaxed geometry.

Unit cell a=4.8120 b=4.8120 c=6.1210 alpha=66.85 beta=66.85 gamma=60.00
Fractional positions:
Sm1 0.5000 0.5000 0.5000
Mg1 0.0000 0.0000 0.0000
H1 0.1920 0.1920 0.4241
H2 0.5973 0.3517 0.1534
H3 0.8080 0.8080 0.5759
H4 0.8976 0.5973 0.1534
H5 0.1024 0.4027 0.8466
H6 0.3517 0.8976 0.1534
H7 0.6483 0.1024 0.8466
H8 0.4027 0.6483 0.8466
Rh1 0.2973 0.2973 0.1081
Rh2 0.7027 0.7027 0.8919

Output
mass density: 5.90 g cm⁻³
space group: R-3 (148)



Record 3
DFT (PBE-GGA) results for crystalline SmMgH6Rh2 at its relaxed geometry.

Unit cell a=4.5948 b=4.5948 c=5.8470 alpha=66.86 beta=66.86 gamma=60.00
Fractional positions:
Sm1 0.0000 0.0000 0.0000
Mg1 0.5000 0.5000 0.5000
H1 0.0608 0.5624 0.8141
H2 0.5627 0.0608 0.8141
H3 0.4376 0.4373 0.1859
H4 0.9392 0.4376 0.1859
H5 0.4373 0.9392 0.1859
H6 0.5624 0.5627 0.8141
Rh1 0.7917 0.7917 0.6250
Rh2 0.2083 0.2083 0.3750

Output
mass density: 6.74 g cm⁻³
space group: R-3m (166)



Record 4
DFT (PBE-GGA) results for crystalline MgSn2HRh at its relaxed geometry.

Unit cell a=4.5827 b=3.9774 c=4.5827 alpha=90.00 beta=90.00 gamma=90.00
Fractional positions:
H1 0.0000 0.0000 0.0000
Mg1 0.0000 0.5000 0.0000
Rh1 0.5000 0.5000 0.5000
Sn1 0.0000 0.0000 0.5000
Sn2 0.5000 0.0000 0.0000

Output
mass density: 7.27 g cm⁻³
space group: P4/mmm (123)



Record 5
DFT (PBE-GGA) results for crystalline MgSnH6Rh2 at its relaxed geometry.

Unit cell a=6.3062 b=6.3062 c=5.6554 alpha=106.90 beta=106.90 gamma=101.51
Fractional positions:
Mg1 0.5892 0.4108 0.2500
Mg2 0.4108 0.5892 0.7500
Sn1 0.1782 0.8218 0.2500
Sn2 0.8218 0.1782 0.7500
H1 0.9081 0.3608 0.2275
H2 0.6392 0.0919 0.2725
H3 0.0919 0.6392 0.7725
H4 0.3608 0.9081 0.7275
H5 0.2956 0.1282 0.0586
H6 0.8718 0.7044 0.4414
H7 0.7044 0.8718 0.9414
H8 0.1282 0.2956 0.5586
H9 0.2749 0.5203 0.3304
H10 0.4797 0.7251 0.1696
H11 0.7251 0.4797 0.6696
H12 0.5203 0.2749 0.8304
Rh1 0.2450 0.1227 0.7318
Rh2 0.8773 0.7550 0.7682
Rh3 0.7550 0.8773 0.2682
Rh4 0.1227 0.2450 0.2318

Output
mass density: 6.02 g cm⁻³
space group: C2/c (15)



Record 6
DFT (PBE-GGA) results for crystalline MgSnHRh2 at its relaxed geometry.

Unit cell a=4.1473 b=4.1473 c=3.8649 alpha=90.00 beta=90.00 gamma=90.00
Fractional positions:
H1 0.0000 0.0000 0.0000
Mg1 0.0000 0.0000 0.5000
Rh1 0.0000 0.5000 0.0000
Rh2 0.5000 0.0000 0.0000
Sn1 0.5000 0.5000 0.5000

Output
mass density: 8.74 g cm⁻³
space group: P4/mmm (123)



Record 7
DFT (PBE-GGA) results for crystalline SrMgH6Rh at its relaxed geometry.

Unit cell a=4.8332 b=4.8333 c=4.8730 alpha=90.00 beta=90.00 gamma=60.00
Fractional positions:
Sr1 0.0000 0.0000 0.9997
Mg1 0.6667 0.6667 0.4999
H1 0.0430 0.4013 0.2678
H2 0.4018 0.0428 0.7323
H3 0.5553 0.4018 0.7323
H4 0.0428 0.5553 0.7323
H5 0.4012 0.5557 0.2678
H6 0.5558 0.0430 0.2678
Rh1 0.3333 0.3334 0.5000

Output
mass density: 3.72 g cm⁻³
space group: P312 (149)



Record 8
DFT (PBE-GGA) results for crystalline Sr2MgH6Rh at its relaxed geometry.

Unit cell a=4.9803 b=5.5111 c=5.5111 alpha=120.00 beta=90.00 gamma=90.00
Fractional positions:
Sr1 0.2136 0.3333 0.6667
Sr2 0.7864 0.6667 0.3333
Mg1 0.5000 0.0000 0.0000
H1 0.7825 0.1563 0.3125
H2 0.7825 0.1563 0.8437
H3 0.7825 0.6875 0.8437
H4 0.2175 0.8437 0.1563
H5 0.2175 0.3125 0.1563
H6 0.2175 0.8437 0.6875
Rh1 0.0000 0.0000 0.0000

Output
mass density: 3.91 g cm⁻³
space group: P-3m1 (164)



Electronic total energy readings, ordered: -3.333; -4.245; -4.518; -3.997; -4.123; -5.152; -3.799; -3.603 eV per atom